## Dy2TmGa4Au (PBE-GGA)

Data for a relaxed structure of Dy2TmGa4Au.

The space group is Amm2 (No. 38) and the conventional cell measures 6.4467, 4.0240 and 13.4105 Å, with angles of 90.00, 90.00 and 90.00 degrees. The distinct sites, in fractional coordinates, are Dy at (0.0000, 0.0000, 0.0000), Dy at (0.5000, 0.0000, 0.4612), Tm at (0.0000, 0.0000, 0.2734), Ga at (0.2206, 0.0000, 0.6350), Ga at (0.3039, 0.0000, 0.8259) and Au at (0.5000, 0.0000, 0.1767).

As for the crystal system: orthorhombic. The magnetization comes out at 0.01 μB per formula unit. Its calculated total energy is -4.150 eV/atom.

## DyAgSnS3 (PBE-GGA)

Data for a relaxed structure of DyAgSnS3.

The space group is Cmcm (No. 63) and the conventional cell measures 3.9922, 13.0383 and 10.3689 Å, with angles of 90.00, 90.00 and 90.00 degrees. The distinct sites, in fractional coordinates, are Dy at (0.0000, 0.0000, 0.0000), Ag at (0.0000, 0.4634, 0.2500), Sn at (0.0000, 0.2520, 0.7500), S at (0.0000, 0.0913, 0.2500) and S at (0.0000, 0.3581, 0.0511).

The energy above the lowest structure with this stoichiometry comes out at 0.052 eV per atom. As for the crystal system: orthorhombic. The magnetization comes out at 0.01 μB per formula unit.

## Co3SiH (PBE-GGA)

Data for a relaxed structure of Co3SiH.

The space group is I4/mcm (No. 140) and the conventional cell measures 4.8910, 4.8910 and 7.3765 Å, with angles of 90.00, 90.00 and 90.00 degrees. The distinct sites, in fractional coordinates, are Co at (0.0000, 0.0000, 0.2500), Co at (0.1964, 0.3036, 0.0000), Si at (0.0000, 0.5000, 0.2500) and H at (0.0000, 0.0000, 0.0000).

The energy above the lowest structure with this stoichiometry comes out at 0.000 eV per atom. As for the crystal system: tetragonal. The magnetization comes out at 1.75 μB per formula unit.

## SrLa6OsI12 (PBE-GGA)

Data for a relaxed structure of SrLa6OsI12.

The space group is R-3 (No. 148, hexagonal axes) and the conventional cell measures 16.3081, 16.3081 and 11.6033 Å, with angles of 90.00, 90.00 and 120.00 degrees. The distinct sites, in fractional coordinates, are Sr at (0.0000, 0.0000, 0.0000), La at (0.0426, 0.1610, 0.3587), Os at (0.0000, 0.0000, 0.5000), I at (0.0194, 0.5858, 0.1598) and I at (0.0490, 0.1786, 0.8272).

As for the crystal system: trigonal. The magnetization comes out at 2.00 μB per formula unit. Its calculated total energy is -4.445 eV/atom.

## Pr2NdZn3Ga2Au (PBE-GGA)

Data for a relaxed structure of Pr2NdZn3Ga2Au.

The space group is Amm2 (No. 38) and the conventional cell measures 4.3789, 12.6580 and 7.2994 Å, with angles of 90.00, 90.00 and 90.00 degrees. The distinct sites, in fractional coordinates, are Pr at (0.0000, 0.2071, 0.0000), Nd at (0.0000, 0.0000, 0.3779), Zn at (0.5000, 0.0000, 0.0381), Zn at (0.5000, 0.1220, 0.6695), Ga at (0.5000, 0.1656, 0.2933) and Au at (0.0000, 0.0000, 0.7908).

As for the crystal system: orthorhombic. The magnetization comes out at 0.01 μB per formula unit. Its calculated total energy is -3.587 eV/atom.

## Ba2LiCuAs2 (PBE-GGA)

Data for a relaxed structure of Ba2LiCuAs2.

The space group is P-6m2 (No. 187) and the conventional cell measures 4.4850, 4.4850 and 9.1050 Å, with angles of 90.00, 90.00 and 120.00 degrees. The distinct sites, in fractional coordinates, are Ba at (0.0000, 0.0000, 0.2504), Li at (0.3333, 0.6667, 0.0000), Cu at (0.6667, 0.3333, 0.5000), As at (0.3333, 0.6667, 0.5000) and As at (0.6667, 0.3333, 0.0000).

As for the crystal system: hexagonal. Its calculated total energy is -3.986 eV/atom.

Copy entry 4 word for word.
## SrLa6OsI12 (PBE-GGA)

Data for a relaxed structure of SrLa6OsI12.

The space group is R-3 (No. 148, hexagonal axes) and the conventional cell measures 16.3081, 16.3081 and 11.6033 Å, with angles of 90.00, 90.00 and 120.00 degrees. The distinct sites, in fractional coordinates, are Sr at (0.0000, 0.0000, 0.0000), La at (0.0426, 0.1610, 0.3587), Os at (0.0000, 0.0000, 0.5000), I at (0.0194, 0.5858, 0.1598) and I at (0.0490, 0.1786, 0.8272).

As for the crystal system: trigonal. The magnetization comes out at 2.00 μB per formula unit. Its calculated total energy is -4.445 eV/atom.